Computed, not measured: a relaxed structure of Ac2La5NdSm at the PBE level of DFT.

```
Ac2La5NdSm
1.0
2.860 -11.415 0.000
2.860 11.415 0.000
0.000 0.000 10.638
Ac La Nd Sm
4 10 2 2
Direct
0.116 0.884 0.513 Ac
0.116 0.884 0.987 Ac
0.884 0.116 0.013 Ac
0.884 0.116 0.487 Ac
0.002 0.998 0.250 La
0.278 0.722 0.560 La
0.278 0.722 0.940 La
0.380 0.620 0.250 La
0.500 0.500 0.000 La
0.500 0.500 0.500 La
0.620 0.380 0.750 La
0.722 0.278 0.060 La
0.722 0.278 0.440 La
0.998 0.002 0.750 La
0.398 0.602 0.750 Nd
0.602 0.398 0.250 Nd
0.219 0.781 0.250 Sm
0.781 0.219 0.750 Sm
```

Summary:
Energy of formation   0.10 eV per atom
SG   Cmcm